A relaxed structure of AlGeBr2, computed with PBE-GGA.

Calculated values
* energy above the lowest structure with this stoichiometry: 0.23 eV/f.u.

a = 8.053 Å, b = 8.053 Å, c = 6.683 Å
α = 90.00°, β = 90.00°, γ = 90.00°
Space group I-42d (No. 122)
One atom of each set of equivalent atoms:
Al  0.000  0.000  0.000 [4 per cell]
Ge  0.000  0.000  0.500 [4 per cell]
Br  0.234  0.750  0.625 [8 per cell]

***

A relaxed structure of AlGeBr2, computed with PBE-GGA.

Calculated values
* energy above the lowest structure with this stoichiometry: 0.00 eV/f.u.

a = 3.6069 Å, b = 3.6069 Å, c = 28.3136 Å
α = 90.00°, β = 90.00°, γ = 120.00°
Space group R-3m (No. 166, hexagonal axes)
One atom of each set of equivalent atoms:
Al  0.0000  0.0000  0.0000 [3 per cell]
Ge  0.0000  0.0000  0.5000 [3 per cell]
Br  0.0000  0.0000  0.4031 [6 per cell]

***

A relaxed structure of AlGeBr2, computed with PBE-GGA.

Calculated values
* energy above the lowest structure with this stoichiometry: 0.16 eV/f.u.

a = 3.5413 Å, b = 3.5413 Å, c = 28.5061 Å
α = 90.00°, β = 90.00°, γ = 120.00°
Space group R-3m (No. 166, hexagonal axes)
One atom of each set of equivalent atoms:
Al  0.0000  0.0000  0.0000 [3 per cell]
Ge  0.0000  0.0000  0.5000 [3 per cell]
Br  0.0000  0.0000  0.0926 [6 per cell]

***

A relaxed structure of AlGeBr2, computed with PBE-GGA.

Calculated values
* energy above the lowest structure with this stoichiometry: 0.59 eV/f.u.

a = 7.293 Å, b = 7.293 Å, c = 7.293 Å
α = 90.00°, β = 90.00°, γ = 90.00°
Space group Fm-3m (No. 225)
One atom of each set of equivalent atoms:
Al  0.000  0.000  0.000 [4 per cell]
Ge  0.000  0.000  0.500 [4 per cell]
Br  0.250  0.250  0.250 [8 per cell]

***

A relaxed structure of AlGeBr5, computed with PBE-GGA.

a = 10.965 Å, b = 10.178 Å, c = 10.871 Å
α = 90.00°, β = 118.07°, γ = 90.00°
Space group Cc (No. 9)
One atom of each set of equivalent atoms:
Al  0.000  0.148  0.000 [4 per cell]
Ge  0.270  0.250  0.777 [4 per cell]
Br  0.102  0.301  0.913 [4 per cell]
Br  0.167  0.033  0.187 [4 per cell]
Br  0.344  0.477  0.308 [4 per cell]
Br  0.372  0.216  0.570 [4 per cell]
Br  0.466  0.160  0.973 [4 per cell]

***

A relaxed structure of Hf2AlGeBr, computed with PBE-GGA.

a = 5.185 Å, b = 5.185 Å, c = 4.529 Å
α = 90.00°, β = 90.00°, γ = 90.00°
Space group P4/mmm (No. 123)
One atom of each set of equivalent atoms:
Hf  0.000  0.500  0.000 [2 per cell]
Al  0.000  0.000  0.000 [1 per cell]
Ge  0.000  0.000  0.500 [1 per cell]
Br  0.500  0.500  0.500 [1 per cell]

***

A relaxed structure of AlHgGeBr6, computed with PBE-GGA.

a = 6.6157 Å, b = 6.6157 Å, c = 9.5683 Å
α = 90.00°, β = 90.00°, γ = 120.00°
Space group P312 (No. 149)
One atom of each set of equivalent atoms:
Al  0.0000  0.0000  0.0000 [1 per cell]
Hg  0.6667  0.3333  0.5000 [1 per cell]
Ge  0.3333  0.6667  0.0000 [1 per cell]
Br  0.0157  0.3158  0.8440 [6 per cell]

***

A relaxed structure of Al2GeI6Br2, computed with PBE-GGA.

a = 7.3941 Å, b = 7.3941 Å, c = 10.6035 Å
α = 90.00°, β = 90.00°, γ = 120.00°
Space group P-3 (No. 147)
One atom of each set of equivalent atoms:
Al  0.3333  0.6667  0.2491 [2 per cell]
Ge  0.0000  0.0000  0.5000 [1 per cell]
I  0.0012  0.6678  0.3297 [6 per cell]
Br  0.3333  0.6667  0.0355 [2 per cell]

***

| no. | formation energy without anion corrections (eV per atom) | calculated total energy (eV/cell) | D(E_F) (states/eV/f.u.) |
| --- | --- | --- | --- |
| 1 | 0.04 | -46.2 | 1.71 |
| 2 | -0.02 | -35.3 | 1.28 |
| 3 | 0.02 | -34.8 | 1.30 |
| 4 | 0.13 | -44.7 | 1.78 |
| 5 | -0.84 | -90.4 | 0.00 |
| 6 | 0.75 | -26.2 | 6.48 |
| 7 | -0.64 | -24.4 | 6.75 |
| 8 | -0.64 | -31.7 | 0.00 |